No. 1
First-principles (PBE-GGA) data for an optimized crystal structure of MnBr, as listed in the Alexandria database.

Geometry as CIF:
```
data_MnBr
_cell_length_a 3.497
_cell_length_b 3.497
_cell_length_c 7.734
_cell_angle_alpha 90.00
_cell_angle_beta 90.00
_cell_angle_gamma 120.00
_space_group_name_H-M_alt 'P 1'
_space_group_IT_number 1
loop_
_space_group_symop_operation_xyz
'x,y,z'
loop_
_atom_site_label
_atom_site_fract_x
_atom_site_fract_y
_atom_site_fract_z
Br1 0.000 0.000 0.000
Br2 0.000 0.000 0.500
Mn1 0.333 0.667 0.250
Mn2 0.667 0.333 0.750
```

Results
- Raw total energy: -5.247 eV/atom
- Size of the total moment: 4.1 μB/f.u.
- Formation energy (no corrections): 0.175 eV/atom

No. 2
First-principles (PBE-GGA) data for an optimized crystal structure of CdBi3W, as listed in the Alexandria database.

Geometry as CIF:
```
data_CdBi3W
_cell_length_a 5.446
_cell_length_b 5.446
_cell_length_c 5.446
_cell_angle_alpha 90.00
_cell_angle_beta 90.00
_cell_angle_gamma 90.00
_space_group_name_H-M_alt 'P 1'
_space_group_IT_number 1
loop_
_space_group_symop_operation_xyz
'x,y,z'
loop_
_atom_site_label
_atom_site_fract_x
_atom_site_fract_y
_atom_site_fract_z
Cd1 0.500 0.500 0.500
Bi1 0.500 0.000 0.000
Bi2 0.000 0.000 0.500
Bi3 0.000 0.500 0.000
W1 0.000 0.000 0.000
```

Results
- Raw total energy: -4.380 eV/atom
- Formation energy: 0.722 eV/atom
- Size of the total moment: 0.0 μB/f.u.
- Offset from the most stable computed form: 0.0 kJ/mol of atoms

No. 3
First-principles (PBE-GGA) data for an optimized crystal structure of NaBrO3, as listed in the Alexandria database.

Geometry as CIF:
```
data_NaBrO3
_cell_length_a 6.814
_cell_length_b 6.814
_cell_length_c 6.814
_cell_angle_alpha 90.00
_cell_angle_beta 90.00
_cell_angle_gamma 90.00
_space_group_name_H-M_alt 'P 1'
_space_group_IT_number 1
loop_
_space_group_symop_operation_xyz
'x,y,z'
loop_
_atom_site_label
_atom_site_fract_x
_atom_site_fract_y
_atom_site_fract_z
Na1 0.923 0.577 0.423
Na2 0.577 0.423 0.923
Na3 0.423 0.923 0.577
Na4 0.077 0.077 0.077
O1 0.787 0.901 0.492
O2 0.213 0.401 0.008
O3 0.401 0.008 0.213
O4 0.492 0.787 0.901
O5 0.992 0.713 0.099
O6 0.008 0.213 0.401
O7 0.599 0.508 0.287
O8 0.099 0.992 0.713
O9 0.713 0.099 0.992
O10 0.508 0.287 0.599
O11 0.287 0.599 0.508
O12 0.901 0.492 0.787
Br1 0.406 0.406 0.406
Br2 0.094 0.594 0.906
Br3 0.906 0.094 0.594
Br4 0.594 0.906 0.094
```

Results
- Raw total energy: -4.145 eV/atom
- Size of the total moment: 0.0 μB/f.u.
- Formation energy (no corrections): -0.572 eV/atom

No. 4
First-principles (PBE-GGA) data for an optimized crystal structure of La6Pr2Tm5, as listed in the Alexandria database.

Geometry as CIF:
```
data_La6Pr2Tm5
_cell_length_a 3.650
_cell_length_b 12.032
_cell_length_c 20.618
_cell_angle_alpha 90.00
_cell_angle_beta 90.00
_cell_angle_gamma 90.00
_space_group_name_H-M_alt 'P 1'
_space_group_IT_number 1
loop_
_space_group_symop_operation_xyz
'x,y,z'
loop_
_atom_site_label
_atom_site_fract_x
_atom_site_fract_y
_atom_site_fract_z
La1 0.000 0.572 0.138
La2 0.000 0.458 0.578
La3 0.500 0.815 0.379
La4 0.000 0.072 0.362
La5 0.500 0.685 0.879
La6 0.000 0.928 0.638
La7 0.000 0.042 0.078
La8 0.000 0.542 0.422
La9 0.000 0.958 0.922
La10 0.500 0.185 0.621
La11 0.500 0.315 0.121
La12 0.000 0.428 0.862
Pr1 0.000 0.835 0.216
Pr2 0.000 0.335 0.284
Pr3 0.000 0.665 0.716
Pr4 0.000 0.165 0.784
Tm1 0.500 0.595 0.278
Tm2 0.500 0.212 0.945
Tm3 0.500 0.000 0.500
Tm4 0.500 0.712 0.555
Tm5 0.500 0.405 0.722
Tm6 0.500 0.905 0.778
Tm7 0.500 0.500 0.000
Tm8 0.500 0.095 0.222
Tm9 0.500 0.788 0.055
Tm10 0.500 0.288 0.445
```

Results
- Raw total energy: -4.616 eV/atom
- Formation energy: 0.113 eV/atom
- Size of the total moment: 0.0 μB/f.u.

No. 5
First-principles (PBE-GGA) data for an optimized crystal structure of Ac4GePt3, as listed in the Alexandria database.

Geometry as CIF:
```
data_Ac4GePt3
_cell_length_a 4.250
_cell_length_b 4.617
_cell_length_c 11.684
_cell_angle_alpha 90.00
_cell_angle_beta 90.00
_cell_angle_gamma 90.00
_space_group_name_H-M_alt 'P 1'
_space_group_IT_number 1
loop_
_space_group_symop_operation_xyz
'x,y,z'
loop_
_atom_site_label
_atom_site_fract_x
_atom_site_fract_y
_atom_site_fract_z
Ac1 0.500 0.500 0.371
Ac2 0.500 0.000 0.637
Ac3 0.000 0.500 0.862
Ac4 0.000 0.000 0.139
Pt1 0.500 0.000 0.914
Pt2 0.000 0.000 0.409
Pt3 0.000 0.500 0.590
Ge1 0.500 0.500 0.079
```

Results
- Raw total energy: -5.928 eV/atom
- Formation energy: -1.031 eV/atom
- Size of the total moment: 0.0 μB/f.u.

No. 6
First-principles (PBE-GGA) data for an optimized crystal structure of Pm5SmAl3, as listed in the Alexandria database.

Geometry as CIF:
```
data_Pm5SmAl3
_cell_length_a 6.825
_cell_length_b 9.234
_cell_length_c 9.309
_cell_angle_alpha 119.73
_cell_angle_beta 90.00
_cell_angle_gamma 90.00
_space_group_name_H-M_alt 'P 1'
_space_group_IT_number 1
loop_
_space_group_symop_operation_xyz
'x,y,z'
loop_
_atom_site_label
_atom_site_fract_x
_atom_site_fract_y
_atom_site_fract_z
Al1 0.250 0.998 0.333
Al2 0.750 0.335 0.333
Al3 0.750 0.667 0.000
Al4 0.250 0.333 0.000
Al5 0.250 0.665 0.667
Al6 0.750 0.002 0.667
Pm1 0.250 0.674 0.000
Pm2 0.750 0.667 0.661
Pm3 0.250 0.994 0.661
Pm4 0.500 0.345 0.691
Pm5 0.500 0.655 0.309
Pm6 0.750 0.326 0.000
Pm7 0.250 0.333 0.339
Pm8 0.000 0.655 0.309
Pm9 0.750 0.006 0.339
Pm10 0.000 0.345 0.691
Sm1 0.500 0.000 0.000
Sm2 0.000 0.000 0.000
```

Results
- Raw total energy: -4.646 eV/atom
- Formation energy: -0.235 eV/atom
- Size of the total moment: 0.0 μB/f.u.

No. 7
First-principles (PBE-GGA) data for an optimized crystal structure of BaCdH2W, as listed in the Alexandria database.

Geometry as CIF:
```
data_BaCdH2W
_cell_length_a 4.440
_cell_length_b 4.440
_cell_length_c 6.962
_cell_angle_alpha 90.00
_cell_angle_beta 90.00
_cell_angle_gamma 90.00
_space_group_name_H-M_alt 'P 1'
_space_group_IT_number 1
loop_
_space_group_symop_operation_xyz
'x,y,z'
loop_
_atom_site_label
_atom_site_fract_x
_atom_site_fract_y
_atom_site_fract_z
H1 0.000 0.500 0.000
H2 0.500 0.000 0.000
Cd1 0.000 0.000 0.000
W1 0.500 0.500 0.500
Ba1 0.000 0.000 0.500
```

Results
- Raw total energy: -2.879 eV/atom
- Size of the total moment: 4.4 μB/f.u.

No. 8
First-principles (PBE-GGA) data for an optimized crystal structure of Sm6GaTc2Br3, as listed in the Alexandria database.

Geometry as CIF:
```
data_Sm6GaTc2Br3
_cell_length_a 6.479
_cell_length_b 6.479
_cell_length_c 8.548
_cell_angle_alpha 94.94
_cell_angle_beta 94.94
_cell_angle_gamma 112.32
_space_group_name_H-M_alt 'P 1'
_space_group_IT_number 1
loop_
_space_group_symop_operation_xyz
'x,y,z'
loop_
_atom_site_label
_atom_site_fract_x
_atom_site_fract_y
_atom_site_fract_z
Br1 0.839 0.161 0.500
Br2 0.161 0.839 0.500
Br3 0.500 0.500 0.500
Tc1 0.249 0.751 0.000
Tc2 0.751 0.249 0.000
Ga1 0.000 0.000 0.000
Sm1 0.323 0.323 0.852
Sm2 0.677 0.677 0.148
Sm3 0.902 0.548 0.763
Sm4 0.098 0.452 0.237
Sm5 0.452 0.098 0.237
Sm6 0.548 0.902 0.763
```

Results
- Raw total energy: -5.401 eV/atom
- Size of the total moment: 0.0 μB/f.u.
- Formation energy (no corrections): -0.644 eV/atom